Entry 1:
VASP calculation (PBE) on a geometry-optimized TbGe2Pd structure.

Unit cell a=9.5878 b=9.5878 c=9.5878 alpha=153.81 beta=125.32 gamma=61.61
Fractional coordinates of all 16 atoms:
Tb 0.2019 0.2019 0.0000
Tb 0.2414 0.0000 0.2414
Tb 0.7586 0.0000 0.7586
Tb 0.7981 0.7981 0.0000
Ge 0.0740 0.5740 0.5000
Ge 0.1535 0.8029 0.3506
Ge 0.4249 0.4249 0.0000
Ge 0.4524 0.8029 0.6494
Ge 0.5476 0.1971 0.3506
Ge 0.5751 0.5751 0.0000
Ge 0.8465 0.1971 0.6494
Ge 0.9260 0.4260 0.5000
Pd 0.1012 0.3519 0.7493
Pd 0.3974 0.6481 0.7493
Pd 0.6026 0.3519 0.2507
Pd 0.8988 0.6481 0.2507

---

Entry 2:
VASP calculation (PBE) on a geometry-optimized TbGe2Pd7 structure.

Unit cell a=10.6294 b=10.6294 c=10.6294 alpha=157.77 beta=157.77 gamma=31.64
Fractional coordinates of all 10 atoms:
Tb 0.0000 0.0000 0.0000
Ge 0.3253 0.3253 0.0000
Ge 0.6747 0.6747 0.0000
Pd 0.1042 0.6042 0.5000
Pd 0.2500 0.7500 0.5000
Pd 0.3958 0.8958 0.5000
Pd 0.5000 0.5000 0.0000
Pd 0.6042 0.1042 0.5000
Pd 0.7500 0.2500 0.5000
Pd 0.8958 0.3958 0.5000

The value obtained for the relative energy among the computed polymorphs is 0.000 eV/atom.

---

Entry 3:
VASP calculation (PBE) on a geometry-optimized Tb2Ge3Pd2 structure.

Unit cell a=5.5791 b=5.5791 c=6.6529 alpha=109.70 beta=109.70 gamma=45.31
Fractional coordinates of all 7 atoms:
Tb 0.1509 0.1509 0.2816
Tb 0.8491 0.8491 0.7184
Ge 0.3914 0.3914 0.0540
Ge 0.5000 0.5000 0.5000
Ge 0.6086 0.6086 0.9460
Pd 0.1445 0.1445 0.7492
Pd 0.8555 0.8555 0.2508

The value obtained for the relative energy among the computed polymorphs is 0.131 eV/atom.

---

Entry 4:
VASP calculation (PBE) on a geometry-optimized Tb2Ge4Pd5 structure.

Unit cell a=8.9949 b=8.0942 c=5.6078 alpha=79.81 beta=62.34 gamma=37.85
Fractional coordinates of all 11 atoms:
Tb 0.1377 0.1377 0.8623
Tb 0.8623 0.8623 0.1377
Ge 0.2212 0.5130 0.4870
Ge 0.4870 0.7788 0.2212
Ge 0.5130 0.2212 0.7788
Ge 0.7788 0.4870 0.5130
Pd 0.0000 0.0000 0.5000
Pd 0.2500 0.2500 0.2500
Pd 0.5000 0.5000 0.0000
Pd 0.5000 0.5000 0.5000
Pd 0.7500 0.7500 0.7500

---

Entry 5:
VASP calculation (PBE) on a geometry-optimized Tb2Ge7Pd12 structure.

Unit cell a=10.2951 b=10.2951 c=3.8665 alpha=90.00 beta=90.00 gamma=120.00
Fractional coordinates of all 21 atoms:
Tb 0.3333 0.6667 0.2451
Tb 0.6667 0.3333 0.7549
Ge 0.0000 0.0000 0.5000
Ge 0.1199 0.7104 0.7488
Ge 0.2896 0.4096 0.7488
Ge 0.4096 0.1199 0.2512
Ge 0.5904 0.8801 0.7488
Ge 0.7104 0.5904 0.2512
Ge 0.8801 0.2896 0.2512
Pd 0.0626 0.4426 0.7510
Pd 0.1116 0.2588 0.2470
Pd 0.1472 0.8884 0.2470
Pd 0.2588 0.1472 0.7530
Pd 0.3800 0.9374 0.7510
Pd 0.4426 0.3800 0.2490
Pd 0.5574 0.6200 0.7510
Pd 0.6200 0.0626 0.2490
Pd 0.7412 0.8528 0.2470
Pd 0.8528 0.1116 0.7530
Pd 0.8884 0.7412 0.7530
Pd 0.9374 0.5574 0.2490

---

Entry 6:
VASP calculation (PBE) on a geometry-optimized Tb2Ge3Pd structure.

Unit cell a=3.9551 b=4.4141 c=7.2188 alpha=90.00 beta=90.00 gamma=90.00
Fractional coordinates of all 6 atoms:
Tb 0.0000 0.0000 0.0000
Tb 0.0000 0.5000 0.4922
Ge 0.5000 0.0000 0.3274
Ge 0.5000 0.0000 0.6699
Ge 0.5000 0.5000 0.1601
Pd 0.5000 0.5000 0.8221

The value obtained for the relative energy among the computed polymorphs is 0.000 eV/atom.

---

Calculated values (Mg/m³) of density for the records, taken in order: 8.7 10.1 9.1 9.1 9.8 8.5.
Calculated values (eV per atom) of calculated total energy for the records, taken in order: -5.536 -5.665 -5.517 -5.519 -5.631 -5.502.
Calculated values (eV/atom) of ΔE_f for the records, taken in order: -0.7720 -0.6438 -0.7319 -0.6377 -0.6834 -0.7843.